Entry 1:
# K3RbAg8, optimized geometry, DFT PBE
data_K3RbAg8
_symmetry_space_group_name_H-M 'R 3 m'
_symmetry_Int_Tables_number 160
_symmetry_space_group_name_Hall 'R 3 -2"'
_cell_length_a 5.9596
_cell_length_b 5.9596
_cell_length_c 29.6513
_cell_angle_alpha 90.00
_cell_angle_beta 90.00
_cell_angle_gamma 120.00
loop_
_atom_site_label
_atom_site_fract_x
_atom_site_fract_y
_atom_site_fract_z
K1 0.0000 0.0000 0.0000
K2 0.0000 0.0000 0.1246
K3 0.0000 0.0000 0.4994
Rb1 0.0000 0.0000 0.6249
Ag1 0.0000 0.0000 0.3125
Ag2 0.0000 0.0000 0.8121
Ag3 0.0015 0.5007 0.0632
Ag4 0.1671 0.3342 0.8944
# Energy of formation: 26 meV/atom
# Raw total energy: -2.23 eV per atom
# V: 25.3 Å³ per atom

Entry 2:
# In2SbAu, optimized geometry, DFT PBE
data_In2SbAu
_symmetry_space_group_name_H-M 'R 3 m'
_symmetry_Int_Tables_number 160
_symmetry_space_group_name_Hall 'R 3 -2"'
_cell_length_a 4.3960
_cell_length_b 4.3960
_cell_length_c 19.1896
_cell_angle_alpha 90.00
_cell_angle_beta 90.00
_cell_angle_gamma 120.00
loop_
_atom_site_label
_atom_site_fract_x
_atom_site_fract_y
_atom_site_fract_z
In1 0.0000 0.0000 0.0000
In2 0.0000 0.0000 0.2321
Sb1 0.0000 0.0000 0.7662
Au1 0.0000 0.0000 0.4964
# Energy relative to the elements, uncorrected: -0.056 eV/atom
# Energy relative to the lowest polymorph listed for this composition: 0.0207 eV/atom
# Raw total energy: -3.28 eV per atom
# V: 26.8 Å³ per atom